Computed, not measured: a relaxed TaTc2HgN crystal at the PBE-GGA level of DFT.

Summary:
Volume = 15.66 Å³/atom
Formation energy (no corrections) = 0.622 eV/atom
Final energy = -7.6206 eV/atom

Lattice parameters (Å, degrees): 4.003 4.885 4.003 90.00 90.00 90.00
Positions (direct):
Tc 0.000 0.000 0.500
Tc 0.500 0.000 0.000
N 0.000 0.000 0.000
Hg 0.000 0.500 0.000
Ta 0.500 0.500 0.500

---

Computed, not measured: a relaxed TaHgTe2N crystal at the PBE-GGA level of DFT.

Summary:
Volume = 24.81 Å³/atom
Formation energy (no corrections) = 0.100 eV/atom
Energy above the most stable polymorph in this dataset = 0 meV/atom
Final energy = -5.2527 eV/atom

Lattice parameters (Å, degrees): 5.620 5.620 3.927 90.00 90.00 90.00
Positions (direct):
N 0.000 0.000 0.500
Te 0.000 0.500 0.000
Te 0.500 0.000 0.000
Hg 0.500 0.500 0.500
Ta 0.000 0.000 0.000

---

Computed, not measured: a relaxed TaHgTe2N crystal at the PBE-GGA level of DFT.

Summary:
Volume = 25.60 Å³/atom
Formation energy (no corrections) = 1.662 eV/atom
Energy above the most stable polymorph in this dataset = 1562 meV/atom
Final energy = -3.6905 eV/atom

Lattice parameters (Å, degrees): 5.670 5.670 3.981 90.00 90.00 90.00
Positions (direct):
N 0.000 0.000 0.500
Te 0.000 0.500 0.000
Te 0.500 0.000 0.000
Hg 0.000 0.000 0.000
Ta 0.500 0.500 0.500

---

Computed, not measured: a relaxed TaTi2HgN crystal at the PBE-GGA level of DFT.

Summary:
Volume = 15.04 Å³/atom
Formation energy (no corrections) = -0.649 eV/atom
Final energy = -7.9028 eV/atom

Lattice parameters (Å, degrees): 4.217 4.217 4.231 90.00 90.00 90.00
Positions (direct):
N 0.000 0.000 0.000
Ti 0.000 0.500 0.000
Ti 0.500 0.000 0.000
Hg 0.500 0.500 0.500
Ta 0.000 0.000 0.500

---

Computed, not measured: a relaxed Ta2VHgN crystal at the PBE-GGA level of DFT.

Summary:
Volume = 16.20 Å³/atom
Formation energy (no corrections) = 0.228 eV/atom
Final energy = -8.0618 eV/atom

Lattice parameters (Å, degrees): 4.158 4.684 4.158 90.00 90.00 90.00
Positions (direct):
N 0.000 0.000 0.000
V 0.500 0.500 0.500
Hg 0.000 0.500 0.000
Ta 0.000 0.000 0.500
Ta 0.500 0.000 0.000

---

Computed, not measured: a relaxed Y2TaHgN crystal at the PBE-GGA level of DFT.

Summary:
Volume = 20.20 Å³/atom
Formation energy (no corrections) = -0.676 eV/atom
Final energy = -7.3579 eV/atom

Lattice parameters (Å, degrees): 4.912 4.912 4.185 90.00 90.00 90.00
Positions (direct):
Y 0.000 0.500 0.000
Y 0.500 0.000 0.000
N 0.000 0.000 0.000
Hg 0.500 0.500 0.500
Ta 0.000 0.000 0.500

---

Computed, not measured: a relaxed Zr2TaHgN crystal at the PBE-GGA level of DFT.

Summary:
Volume = 17.67 Å³/atom
Formation energy (no corrections) = -0.662 eV/atom
Final energy = -8.1773 eV/atom

Lattice parameters (Å, degrees): 4.629 4.629 4.123 90.00 90.00 90.00
Positions (direct):
N 0.000 0.000 0.000
Hg 0.500 0.500 0.500
Zr 0.000 0.500 0.000
Zr 0.500 0.000 0.000
Ta 0.000 0.000 0.500

---

Computed, not measured: a relaxed Tb6Hg2N crystal at the PBE-GGA level of DFT.

Summary:
Volume = 25.74 Å³/atom
Formation energy (no corrections) = -0.583 eV/atom
Final energy = -4.6620 eV/atom

Lattice parameters (Å, degrees): 6.919 6.898 9.708 90.00 90.13 90.00
Positions (direct):
Tb 0.921 0.000 0.257
Tb 0.757 0.754 0.541
Tb 0.745 0.744 0.959
Tb 0.755 0.244 0.541
Tb 0.743 0.254 0.959
Tb 0.579 0.500 0.243
Tb 0.079 0.000 0.743
Tb 0.243 0.246 0.459
Tb 0.255 0.256 0.041
Tb 0.245 0.756 0.459
Tb 0.257 0.746 0.041
Tb 0.421 0.500 0.757
Hg 0.992 0.499 0.749
Hg 0.508 0.999 0.751
Hg 0.492 0.001 0.249
Hg 0.008 0.501 0.251
N 0.500 0.500 0.000
N 0.000 0.000 0.500

---

Computed, not measured: a relaxed TbHgN crystal at the PBE-GGA level of DFT.

Summary:
Volume = 24.59 Å³/atom
Formation energy (no corrections) = -0.462 eV/atom
Final energy = -4.8815 eV/atom

Lattice parameters (Å, degrees): 7.505 7.700 6.395 127.01 90.00 90.00
Positions (direct):
Hg 0.000 0.792 0.583
Hg 0.000 0.208 0.417
Hg 0.500 0.292 0.583
Hg 0.500 0.708 0.417
Tb 0.845 0.647 0.000
Tb 0.345 0.853 0.000
Tb 0.155 0.353 0.000
Tb 0.655 0.147 0.000
N 0.638 0.858 0.000
N 0.862 0.358 0.000
N 0.138 0.642 0.000
N 0.362 0.142 0.000

---

Computed, not measured: a relaxed Tb2HgN crystal at the PBE-GGA level of DFT.

Summary:
Volume = 21.16 Å³/atom
Formation energy (no corrections) = -0.985 eV/atom
Energy above the most stable polymorph in this dataset = 0 meV/atom
Final energy = -5.4565 eV/atom

Lattice parameters (Å, degrees): 3.552 3.552 8.014 77.20 77.20 60.00
Positions (direct):
Tb 0.275 0.275 0.175
Tb 0.725 0.725 0.825
Hg 0.500 0.500 0.500
N 0.000 0.000 0.000

---

Computed, not measured: a relaxed Tb6Hg3N crystal at the PBE-GGA level of DFT.

Summary:
Volume = 26.22 Å³/atom
Formation energy (no corrections) = -0.542 eV/atom
Final energy = -4.2436 eV/atom

Lattice parameters (Å, degrees): 6.531 7.994 10.076 90.00 85.61 90.00
Positions (direct):
Tb 0.681 0.145 0.948
Tb 0.619 0.222 0.565
Tb 0.651 0.450 0.277
Tb 0.349 0.550 0.723
Tb 0.381 0.778 0.435
Tb 0.319 0.855 0.052
Tb 0.181 0.355 0.448
Tb 0.119 0.278 0.065
Tb 0.151 0.050 0.777
Tb 0.849 0.950 0.223
Tb 0.881 0.722 0.935
Tb 0.819 0.645 0.552
Hg 0.578 0.887 0.738
Hg 0.500 0.500 0.000
Hg 0.422 0.113 0.262
Hg 0.078 0.613 0.238
Hg 0.000 0.000 0.500
Hg 0.922 0.387 0.762
N 0.500 0.500 0.500
N 0.000 0.000 0.000

---

Computed, not measured: a relaxed Tb3Hg2N crystal at the PBE-GGA level of DFT.

Summary:
Volume = 22.33 Å³/atom
Formation energy (no corrections) = -0.811 eV/atom
Final energy = -4.6145 eV/atom

Lattice parameters (Å, degrees): 4.891 7.007 8.192 90.01 107.37 90.00
Positions (direct):
Tb 0.500 0.250 0.000
Tb 0.500 0.750 0.000
Tb 0.110 0.000 0.221
Tb 0.890 0.500 0.779
Tb 0.110 0.500 0.221
Tb 0.890 0.000 0.779
Hg 0.696 0.750 0.392
Hg 0.696 0.250 0.392
Hg 0.304 0.750 0.608
Hg 0.304 0.250 0.608
N 0.000 0.750 0.000
N 0.000 0.250 0.000

---

Computed, not measured: a relaxed Tb12Hg3N5 crystal at the PBE-GGA level of DFT.

Summary:
Volume = 23.92 Å³/atom
Formation energy (no corrections) = -0.827 eV/atom
Final energy = -5.7322 eV/atom

Lattice parameters (Å, degrees): 13.546 13.546 13.546 109.47 109.47 109.47
Positions (direct):
Tb 0.698 0.111 0.013
Tb 0.315 0.513 0.402
Tb 0.987 0.389 0.302
Tb 0.513 0.198 0.111
Tb 0.587 0.698 0.685
Tb 0.987 0.598 0.185
Tb 0.315 0.802 0.413
Tb 0.098 0.913 0.111
Tb 0.598 0.987 0.685
Tb 0.698 0.587 0.185
Tb 0.802 0.487 0.389
Tb 0.815 0.902 0.013
Tb 0.111 0.698 0.513
Tb 0.389 0.402 0.087
Tb 0.087 0.902 0.389
Tb 0.413 0.111 0.598
Tb 0.087 0.185 0.198
Tb 0.487 0.685 0.098
Tb 0.815 0.913 0.302
Tb 0.111 0.413 0.098
Tb 0.389 0.987 0.802
Tb 0.598 0.611 0.413
Tb 0.902 0.815 0.513
Tb 0.802 0.315 0.913
Tb 0.402 0.389 0.587
Tb 0.098 0.185 0.487
Tb 0.198 0.685 0.087
Tb 0.185 0.087 0.698
Tb 0.611 0.013 0.198
Tb 0.889 0.587 0.902
Tb 0.513 0.315 0.902
Tb 0.587 0.889 0.402
Tb 0.913 0.815 0.802
Tb 0.913 0.098 0.611
Tb 0.889 0.302 0.487
Tb 0.185 0.098 0.987
Tb 0.611 0.598 0.913
Tb 0.402 0.013 0.315
Tb 0.302 0.413 0.815
Tb 0.198 0.513 0.611
Tb 0.902 0.087 0.889
Tb 0.685 0.198 0.587
Tb 0.487 0.802 0.889
Tb 0.013 0.402 0.815
Tb 0.413 0.302 0.315
Tb 0.013 0.611 0.698
Tb 0.685 0.487 0.598
Tb 0.302 0.889 0.987
Hg 0.750 0.375 0.125
Hg 0.875 0.750 0.125
Hg 0.375 0.750 0.625
Hg 0.250 0.125 0.375
Hg 0.875 0.125 0.250
Hg 0.375 0.625 0.250
Hg 0.625 0.375 0.750
Hg 0.125 0.875 0.750
Hg 0.750 0.875 0.625
Hg 0.625 0.250 0.375
Hg 0.125 0.250 0.875
Hg 0.250 0.625 0.875
N 0.125 0.375 0.250
N 0.000 0.500 0.000
N 0.000 0.000 0.000
N 0.375 0.250 0.125
N 0.500 0.000 0.500
N 0.500 0.500 0.000
N 0.125 0.750 0.375
N 0.750 0.125 0.875
N 0.750 0.625 0.375
N 0.375 0.125 0.750
N 0.625 0.875 0.250
N 0.500 0.500 0.500
N 0.500 0.000 0.000
N 0.000 0.000 0.500
N 0.250 0.375 0.625
N 0.250 0.875 0.125
N 0.000 0.500 0.500
N 0.875 0.250 0.625
N 0.625 0.750 0.875
N 0.875 0.625 0.750

---

Computed, not measured: a relaxed Tb2HgN crystal at the PBE-GGA level of DFT.

Summary:
Volume = 22.58 Å³/atom
Formation energy (no corrections) = -0.928 eV/atom
Energy above the most stable polymorph in this dataset = 56 meV/atom
Final energy = -5.4003 eV/atom

Lattice parameters (Å, degrees): 4.657 4.657 8.327 90.09 90.09 90.00
Positions (direct):
Tb 0.751 0.751 0.838
Tb 0.750 0.250 0.500
Tb 0.249 0.249 0.162
Tb 0.250 0.750 0.500
Hg 0.251 0.251 0.797
Hg 0.749 0.749 0.203
N 0.250 0.250 0.426
N 0.750 0.750 0.574

---

Computed, not measured: a relaxed Tb2HgN crystal at the PBE-GGA level of DFT.

Summary:
Volume = 19.13 Å³/atom
Formation energy (no corrections) = -0.468 eV/atom
Energy above the most stable polymorph in this dataset = 517 meV/atom
Final energy = -4.9398 eV/atom

Lattice parameters (Å, degrees): 3.110 3.110 7.908 90.00 90.00 90.00
Positions (direct):
Tb 0.000 0.000 0.817
Tb 0.000 0.000 0.183
Hg 0.500 0.500 0.500
N 0.500 0.500 0.000

---

Computed, not measured: a relaxed Tb3HgN crystal at the PBE-GGA level of DFT.

Summary:
Volume = 22.55 Å³/atom
Formation energy (no corrections) = -0.905 eV/atom
Final energy = -5.4087 eV/atom

Lattice parameters (Å, degrees): 4.831 4.831 4.831 90.00 90.00 90.00
Positions (direct):
Tb 0.000 0.500 0.000
Tb 0.000 0.000 0.500
Tb 0.500 0.000 0.000
Hg 0.500 0.500 0.500
N 0.000 0.000 0.000

---

Computed, not measured: a relaxed Tb4HgN crystal at the PBE-GGA level of DFT.

Summary:
Volume = 25.60 Å³/atom
Formation energy (no corrections) = -0.570 eV/atom
Final energy = -5.0951 eV/atom

Lattice parameters (Å, degrees): 6.063 7.466 8.164 111.09 104.55 105.22
Positions (direct):
Tb 0.297 0.935 0.600
Tb 0.021 0.837 0.099
Tb 0.197 0.335 0.400
Tb 0.422 0.739 0.901
Tb 0.703 0.065 0.400
Tb 0.803 0.665 0.600
Tb 0.979 0.163 0.901
Tb 0.578 0.261 0.099
Hg 0.364 0.614 0.228
Hg 0.636 0.386 0.772
N 0.820 0.070 0.140
N 0.180 0.930 0.860

---

Computed, not measured: a relaxed TbTm2HgN crystal at the PBE-GGA level of DFT.

Summary:
Volume = 21.50 Å³/atom
Formation energy (no corrections) = -0.947 eV/atom
Final energy = -5.3870 eV/atom

Lattice parameters (Å, degrees): 4.822 4.722 4.722 90.00 90.00 90.00
Positions (direct):
Tb 0.500 0.000 0.000
Tm 0.000 0.000 0.500
Tm 0.000 0.500 0.000
Hg 0.500 0.500 0.500
N 0.000 0.000 0.000

---

Computed, not measured: a relaxed TcHg2N crystal at the PBE-GGA level of DFT.

Summary:
Volume = 20.78 Å³/atom
Formation energy (no corrections) = 0.786 eV/atom
Final energy = -4.0380 eV/atom

Lattice parameters (Å, degrees): 9.365 9.365 6.888 47.17 47.17 90.00
Positions (direct):
N 0.500 0.500 0.000
N 0.250 0.750 0.500
Hg 0.502 0.125 0.250
Hg 0.248 0.625 0.250
Hg 0.375 0.498 0.750
Hg 0.875 0.752 0.750
Tc 0.000 0.000 0.000
Tc 0.750 0.250 0.500

---

Computed, not measured: a relaxed TcHgN crystal at the PBE-GGA level of DFT.

Summary:
Volume = 19.39 Å³/atom
Formation energy (no corrections) = 0.200 eV/atom
Final energy = -6.1310 eV/atom

Lattice parameters (Å, degrees): 3.193 3.193 13.299 83.10 83.10 60.00
Positions (direct):
Hg 0.373 0.373 0.880
Hg 0.627 0.627 0.120
N 0.209 0.209 0.373
N 0.791 0.791 0.627
Tc 0.140 0.140 0.579
Tc 0.860 0.860 0.421